Record 1
First-principles (PBE-GGA) data for a relaxed structure of Mg3Ga3PtAu2, as listed in OQMD via LeMat-Bulk.

Geometry as CIF:
```
data_Mg3Ga3PtAu2
_cell_length_a 7.2847
_cell_length_b 7.2847
_cell_length_c 3.4965
_cell_angle_alpha 90.00
_cell_angle_beta 90.00
_cell_angle_gamma 120.00
_space_group_name_H-M_alt 'P -6 2 m'
_space_group_IT_number 189
_space_group_name_Hall 'P -6 -2'
loop_
_atom_site_label
_atom_site_type_symbol
_atom_site_fract_x
_atom_site_fract_y
_atom_site_fract_z
Mg1 Mg 0.0000 0.6132 0.0000
Ga1 Ga 0.0000 0.2662 0.5000
Pt1 Pt 0.0000 0.0000 0.0000
Au1 Au 0.3333 0.6667 0.5000
```

Calculated values
Total energy, eV per atom: -3.48
Volume, Å³/cell: 160.7
Calculated density, Mg/m³: 9.0


Record 2
First-principles (PBE-GGA) data for a relaxed structure of Tb3Mg3GaAu2, as listed in OQMD via LeMat-Bulk.

Geometry as CIF:
```
data_Tb3Mg3GaAu2
_cell_length_a 7.5536
_cell_length_b 7.5536
_cell_length_c 4.2088
_cell_angle_alpha 90.00
_cell_angle_beta 90.00
_cell_angle_gamma 120.00
_space_group_name_H-M_alt 'P -6 2 m'
_space_group_IT_number 189
_space_group_name_Hall 'P -6 -2'
loop_
_atom_site_label
_atom_site_type_symbol
_atom_site_fract_x
_atom_site_fract_y
_atom_site_fract_z
Tb1 Tb 0.0000 0.4138 0.0000
Mg1 Mg 0.0000 0.7555 0.5000
Ga1 Ga 0.0000 0.0000 0.0000
Au1 Au 0.3333 0.6667 0.5000
```

Calculated values
Total energy, eV per atom: -3.72
Volume, Å³/cell: 208.0
Calculated density, Mg/m³: 8.1